Li2Si3Ir2: optimized geometry, GGA-PBE.

Results
Density of states at the Fermi level ... 0.27 states/eV per atom
Symmetry ... No. 12
VASP energy ... -40.39 eV for the cell shown

```
data_Li2Si3Ir2
_chemical_formula_sum 'Li2 Si3 Ir2'
_space_group_name_H-M_alt 'P 1'
_space_group_IT_number 1
_space_group_name_Hall 'P 1'
_cell_length_a 4.581
_cell_length_b 4.581
_cell_length_c 6.145
_cell_angle_alpha 94.21
_cell_angle_beta 94.21
_cell_angle_gamma 49.86
loop_
_atom_site_label
_atom_site_type_symbol
_atom_site_fract_x
_atom_site_fract_y
_atom_site_fract_z
_atom_site_occupancy
Li1 Li 0.136 0.136 0.433 1
Li2 Li 0.864 0.864 0.567 1
Si1 Si 0.000 0.000 0.000 1
Si2 Si 0.281 0.281 0.824 1
Si3 Si 0.719 0.719 0.176 1
Ir1 Ir 0.417 0.417 0.203 1
Ir2 Ir 0.583 0.583 0.797 1
```

Sr2AsP: optimized geometry, GGA-PBE.

Results
Density of states at the Fermi level ... 0.87 states/eV per atom
Symmetry ... No. 47
Excess energy over the best structure of this formula in the dataset ... 20.8 kJ per mole of atoms
VASP energy ... -16.39 eV for the cell shown

```
data_Sr2AsP
_chemical_formula_sum 'Sr2 As1 P1'
_space_group_name_H-M_alt 'P 1'
_space_group_IT_number 1
_space_group_name_Hall 'P 1'
_cell_length_a 3.627
_cell_length_b 5.161
_cell_length_c 6.306
_cell_angle_alpha 90.00
_cell_angle_beta 90.00
_cell_angle_gamma 90.00
loop_
_atom_site_label
_atom_site_type_symbol
_atom_site_fract_x
_atom_site_fract_y
_atom_site_fract_z
_atom_site_occupancy
Sr1 Sr 0.000 0.000 0.000 1
Sr2 Sr 0.500 0.500 0.500 1
As1 As 0.000 0.000 0.500 1
P1 P 0.500 0.500 0.000 1
```